# 1
Compound: La2Cu2Sn
Source: Alexandria
Functional: PBE-GGA
Structure: optimized geometry

Computed properties:
total energy = -4.657 eV/atom
volume = 129.1 Å³ per cell
formation enthalpy at 0 K = -0.2473 eV per atom

Lattice parameters (Å, degrees): 5.7787 5.7787 5.6250 59.09 59.09 90.00
Last column: nearest neighbours and their distance in Å.
Atoms (fractional coordinates):
Sn1 0.0000 0.0000 0.0000  2 Cu 2.73
Cu1 0.3528 0.3528 0.2945  1 Cu 2.28
Cu2 0.6472 0.6472 0.7055  1 Cu 2.28
La1 0.7500 0.2500 0.5000  4 Cu 3.00
La2 0.2500 0.7500 0.5000  4 Cu 3.00


# 2
Compound: LaCu5Sn
Source: Alexandria
Functional: PBE-GGA
Structure: optimized geometry

Computed properties:
total energy = -4.466 eV/atom
volume = 462.7 Å³ per cell
formation enthalpy at 0 K = -0.2646 eV per atom

Lattice parameters (Å, degrees): 5.1294 8.4273 10.7037 90.00 90.00 90.00
Last column: nearest neighbours and their distance in Å.
Atoms (fractional coordinates):
La1 0.2500 0.7558 0.0584  6 Cu 2.94-3.15
La2 0.7500 0.2442 0.9416  6 Cu 2.94-3.15
La3 0.7500 0.7442 0.5584  6 Cu 2.94-3.15
La4 0.2500 0.2558 0.4416  6 Cu 2.94-3.15
Cu1 0.2500 0.8214 0.7449  7 Cu 2.53-2.62
Cu2 0.7500 0.1786 0.2551  7 Cu 2.53-2.62
Cu3 0.7500 0.6786 0.2449  7 Cu 2.53-2.62
Cu4 0.2500 0.3214 0.7551  7 Cu 2.53-2.62
Cu5 0.4996 0.5696 0.8117  7 Cu 2.53-2.58, 1 Sn 2.81
Cu6 0.5004 0.4304 0.1883  7 Cu 2.53-2.58, 1 Sn 2.81
Cu7 0.5004 0.9304 0.3117  7 Cu 2.53-2.58, 1 Sn 2.81
Cu8 0.9996 0.4304 0.1883  7 Cu 2.53-2.58, 1 Sn 2.81
Cu9 0.4996 0.0696 0.6883  7 Cu 2.53-2.58, 1 Sn 2.81
Cu10 0.0004 0.5696 0.8117  7 Cu 2.53-2.58, 1 Sn 2.81
Cu11 0.0004 0.0696 0.6883  7 Cu 2.53-2.58, 1 Sn 2.81
Cu12 0.9996 0.9304 0.3117  7 Cu 2.53-2.58, 1 Sn 2.81
Cu13 0.2500 0.9199 0.5165  5 Cu 2.54-2.58
Cu14 0.7500 0.0801 0.4835  5 Cu 2.54-2.58
Cu15 0.7500 0.5801 0.0165  5 Cu 2.54-2.58
Cu16 0.2500 0.4199 0.9835  5 Cu 2.54-2.58
Cu17 0.2500 0.5657 0.6060  4 Cu 2.55-2.62, 1 Sn 2.71
Cu18 0.7500 0.4343 0.3940  4 Cu 2.55-2.62, 1 Sn 2.71
Cu19 0.7500 0.9343 0.1060  4 Cu 2.55-2.62, 1 Sn 2.71
Cu20 0.2500 0.0657 0.8940  4 Cu 2.55-2.62, 1 Sn 2.71
Sn1 0.2500 0.6406 0.3600  8 Cu 2.71-2.89
Sn2 0.7500 0.3594 0.6400  8 Cu 2.71-2.89
Sn3 0.7500 0.8594 0.8600  8 Cu 2.71-2.89
Sn4 0.2500 0.1406 0.1400  8 Cu 2.71-2.89


# 3
Compound: LaCu3Sn
Source: Alexandria
Functional: PBE-GGA
Structure: optimized geometry

Computed properties:
total energy = -3.208 eV/atom
volume = 140.1 Å³ per cell
energy above the most stable polymorph in this dataset = 0.842 eV per atom
formation enthalpy at 0 K = 1.0362 eV per atom

Lattice parameters (Å, degrees): 5.1942 5.1942 5.1942 90.00 90.00 90.00
Last column: nearest neighbours and their distance in Å.
Atoms (fractional coordinates):
Sn1 0.5000 0.5000 0.5000  12 Cu 3.67
Cu1 0.0000 0.5000 0.0000  2 La 2.60
Cu2 0.0000 0.0000 0.5000  2 La 2.60
Cu3 0.5000 0.0000 0.0000  2 La 2.60
La1 0.0000 0.0000 0.0000  6 Cu 2.60


# 4
Compound: La3CuSn2
Source: Alexandria
Functional: PBE-GGA
Structure: optimized geometry

Computed properties:
total energy = -5.113 eV/atom
volume = 728.8 Å³ per cell
formation enthalpy at 0 K = -0.6327 eV per atom

Lattice parameters (Å, degrees): 4.6108 12.4018 12.7448 90.00 90.00 90.00
Last column: nearest neighbours and their distance in Å.
Atoms (fractional coordinates):
La1 0.2500 0.3745 0.0534  1 Cu 3.18, 5 Sn 3.31-3.49
La2 0.7500 0.6255 0.9466  1 Cu 3.18, 5 Sn 3.31-3.49
La3 0.7500 0.8745 0.4466  1 Cu 3.18, 5 Sn 3.31-3.49
La4 0.2500 0.1255 0.5534  1 Cu 3.18, 5 Sn 3.31-3.49
La5 0.2500 0.6994 0.2180  2 Cu 3.15, 4 Sn 3.35-3.38
La6 0.7500 0.3006 0.7820  2 Cu 3.15, 4 Sn 3.35-3.38
La7 0.7500 0.1994 0.2820  2 Cu 3.15, 4 Sn 3.35-3.38
La8 0.2500 0.8006 0.7180  2 Cu 3.15, 4 Sn 3.35-3.38
La9 0.2500 0.4401 0.3754  3 Cu 3.30-3.33, 5 Sn 3.32-3.36
La10 0.7500 0.5599 0.6246  3 Cu 3.30-3.33, 5 Sn 3.32-3.36
La11 0.7500 0.9401 0.1246  3 Cu 3.30-3.33, 5 Sn 3.32-3.36
La12 0.2500 0.0599 0.8754  3 Cu 3.30-3.33, 5 Sn 3.32-3.36
Cu1 0.2500 0.1300 0.1277  3 Sn 2.77-2.78
Cu2 0.7500 0.8700 0.8723  3 Sn 2.77-2.78
Cu3 0.7500 0.6300 0.3723  3 Sn 2.77-2.78
Cu4 0.2500 0.3700 0.6277  3 Sn 2.77-2.78
Sn1 0.2500 0.6847 0.4808  2 Cu 2.77
Sn2 0.7500 0.3153 0.5192  2 Cu 2.77
Sn3 0.7500 0.1847 0.0192  2 Cu 2.77
Sn4 0.2500 0.8153 0.9808  2 Cu 2.77
Sn5 0.2500 0.0022 0.3072  1 Cu 2.78
Sn6 0.7500 0.9978 0.6928  1 Cu 2.78
Sn7 0.7500 0.5022 0.1928  1 Cu 2.78
Sn8 0.2500 0.4978 0.8072  1 Cu 2.78


# 5
Compound: LaCu9Sn4
Source: Alexandria
Functional: PBE-GGA
Structure: optimized geometry

Computed properties:
total energy = -4.152 eV/atom
volume = 496.5 Å³ per cell
formation enthalpy at 0 K = -0.0232 eV per atom

Lattice parameters (Å, degrees): 8.7835 8.7835 8.7835 117.36 117.36 94.64
Last column: nearest neighbours and their distance in Å.
Atoms (fractional coordinates):
La1 0.7500 0.7500 0.0000  16 Cu 3.50-3.85, 8 Sn 3.61
La2 0.2500 0.2500 0.0000  16 Cu 3.50-3.85, 8 Sn 3.61
Cu1 0.3497 0.8497 0.9018  2 Cu 2.43-2.57
Cu2 0.6503 0.1503 0.0982  2 Cu 2.43-2.57
Cu3 0.9479 0.4479 0.0982  2 Cu 2.43-2.57
Cu4 0.8497 0.9479 0.5000  2 Cu 2.43-2.57
Cu5 0.5521 0.6503 0.5000  2 Cu 2.43-2.57
Cu6 0.0521 0.5521 0.9018  2 Cu 2.43-2.57
Cu7 0.1503 0.0521 0.5000  2 Cu 2.43-2.57
Cu8 0.4479 0.3497 0.5000  2 Cu 2.43-2.57
Cu9 0.0000 0.5000 0.5000  4 Cu 2.49, 4 Sn 2.57
Cu10 0.5000 0.0000 0.5000  4 Cu 2.49, 4 Sn 2.57
Cu11 0.7799 0.2799 0.7037  6 Cu 2.43-2.63
Cu12 0.2201 0.7201 0.2963  6 Cu 2.43-2.63
Cu13 0.5762 0.0762 0.2963  6 Cu 2.43-2.63
Cu14 0.2799 0.5762 0.5000  6 Cu 2.43-2.63
Cu15 0.9238 0.2201 0.5000  6 Cu 2.43-2.63
Cu16 0.4238 0.9238 0.7037  6 Cu 2.43-2.63
Cu17 0.7201 0.4238 0.5000  6 Cu 2.43-2.63
Cu18 0.0762 0.7799 0.5000  6 Cu 2.43-2.63
Sn1 0.7205 0.5357 0.2562  3 Cu 2.57-2.74
Sn2 0.2795 0.4643 0.7438  3 Cu 2.57-2.74
Sn3 0.5357 0.2795 0.8152  3 Cu 2.57-2.74
Sn4 0.2205 0.9643 0.1848  3 Cu 2.57-2.74
Sn5 0.4643 0.7205 0.1848  3 Cu 2.57-2.74
Sn6 0.7795 0.0357 0.8152  3 Cu 2.57-2.74
Sn7 0.0357 0.2205 0.2562  3 Cu 2.57-2.74
Sn8 0.9643 0.7795 0.7438  3 Cu 2.57-2.74


# 6
Compound: LaCu3Sn
Source: Alexandria
Functional: PBE-GGA
Structure: optimized geometry

Computed properties:
total energy = -4.049 eV/atom
volume = 114.2 Å³ per cell
energy above the most stable polymorph in this dataset = 0.000 eV per atom
formation enthalpy at 0 K = 0.1946 eV per atom

Lattice parameters (Å, degrees): 4.8515 4.8515 4.8515 90.00 90.00 90.00
Last column: nearest neighbours and their distance in Å.
Atoms (fractional coordinates):
Sn1 0.0000 0.0000 0.0000  6 Cu 2.43
Cu1 0.0000 0.5000 0.0000  2 Sn 2.43
Cu2 0.0000 0.0000 0.5000  2 Sn 2.43
Cu3 0.5000 0.0000 0.0000  2 Sn 2.43
La1 0.5000 0.5000 0.5000  12 Cu 3.43